This record from the Alexandria database describes a relaxed structure of Pa2ReSn. The functional is PBE.

The structure belongs to space group R-3m (No. 166, hexagonal axes); the cell edges are 4.6778, 4.6778 and 15.3537 Å and the angles 90.00°, 90.00° and 120.00°. The inequivalent atoms are Pa at (0.0000, 0.0000, 0.2370), Re at (0.0000, 0.0000, 0.5000) and Sn at (0.0000, 0.0000, 0.0000).

For the energy above the lowest structure with this stoichiometry, the calculation gives 368 meV/atom. As for the formation energy: 0.126 eV/atom.

This record from the Alexandria database describes a relaxed structure of Mn4TlAs. The functional is PBE.

The structure belongs to space group F-43m (No. 216); the cell edges are 7.119, 7.119 and 7.119 Å and the angles 90.00°, 90.00° and 90.00°. The inequivalent atoms are Mn at (0.125, 0.125, 0.125), Tl at (0.250, 0.250, 0.750) and As at (0.000, 0.000, 0.500).

As for the formation energy: 0.515 eV/atom.

This record from the Alexandria database describes a relaxed structure of ThZnInAu. The functional is PBE.

The structure belongs to space group F-43m (No. 216); the cell edges are 7.119, 7.119 and 7.119 Å and the angles 90.00°, 90.00° and 90.00°. The inequivalent atoms are Th at (0.000, 0.000, 0.000), Zn at (0.250, 0.250, 0.750), In at (0.000, 0.000, 0.500) and Au at (0.250, 0.250, 0.250).

As for the formation energy: -0.433 eV/atom.

This record from the Alexandria database describes a relaxed structure of FeReAu2. The functional is PBE.

The structure belongs to space group Cmm2 (No. 35); the cell edges are 3.095, 4.502 and 9.162 Å and the angles 90.00°, 90.00° and 90.00°. The inequivalent atoms are Fe at (0.000, 0.000, 0.000), Re at (0.000, 0.500, 0.788), Au at (0.000, 0.000, 0.521) and Au at (0.000, 0.500, 0.243).

For the energy above the lowest structure with this stoichiometry, the calculation gives 60 meV/atom. As for the formation energy: 0.286 eV/atom.

This record from the Alexandria database describes a relaxed structure of Y4Pd2O. The functional is PBE.

The structure belongs to space group P2_1/m (No. 11); the cell edges are 6.640, 6.927 and 7.597 Å and the angles 90.00°, 106.41° and 90.00°. The inequivalent atoms are Y at (0.004, 0.007, 0.248), Y at (0.421, 0.250, 0.597), Y at (0.438, 0.250, 0.119), Pd at (0.222, 0.750, 0.546), Pd at (0.238, 0.750, 0.067) and O at (0.233, 0.250, 0.305).

For the energy above the lowest structure with this stoichiometry, the calculation gives 0 meV/atom. The formation energy from raw total energies comes out at -1.315 eV/atom.

This record from the Alexandria database describes a relaxed structure of MnFe2TcCl. The functional is PBE.

The structure belongs to space group P4/mmm (No. 123); the cell edges are 4.464, 4.464 and 5.164 Å and the angles 90.00°, 90.00° and 90.00°. The inequivalent atoms are Mn at (0.000, 0.000, 0.000), Fe at (0.000, 0.500, 0.500), Tc at (0.000, 0.000, 0.500) and Cl at (0.500, 0.500, 0.000).

The formation energy from raw total energies comes out at 1.326 eV/atom.

This record from the Alexandria database describes a relaxed structure of Y2O3. The functional is PBE.

The structure belongs to space group Pnma (No. 62); the cell edges are 8.919, 3.332 and 8.900 Å and the angles 90.00°, 90.00° and 90.00°. The inequivalent atoms are Y at (0.004, 0.250, 0.186), Y at (0.187, 0.250, 0.511), O at (0.047, 0.750, 0.372), O at (0.115, 0.250, 0.943) and O at (0.227, 0.750, 0.688).

The formation energy from raw total energies comes out at -3.410 eV/atom.

This record from the Alexandria database describes a relaxed structure of YScMn2. The functional is PBE.

The structure belongs to space group F-43m (No. 216); the cell edges are 6.849, 6.849 and 6.849 Å and the angles 90.00°, 90.00° and 90.00°. The inequivalent atoms are Y at (0.000, 0.000, 0.000), Sc at (0.250, 0.250, 0.250), Mn at (0.000, 0.000, 0.500) and Mn at (0.250, 0.250, 0.750).

As for the formation energy: 0.337 eV/atom.